VASP calculation (PBE) on a geometry-optimized InPdSN2 structure. Values from VASP.

Values from the calculation:
Energy above the lowest structure with this stoichiometry, meV per atom: 443
Total magnetization, μB per atom: 0.778
SG: P4/mmm (123)

```
&SYSTEM
  ibrav = 0, nat = 5, ntyp = 4
/
ATOMIC_SPECIES
In 114.82 In.upf
Pd 106.42 Pd.upf
S 32.06 S.upf
N 14.01 N.upf
CELL_PARAMETERS angstrom
4.1551 0.0000 0.0000
0.0000 4.1551 0.0000
0.0000 0.0000 5.4264
ATOMIC_POSITIONS crystal
In 0.0000 0.0000 0.0000
Pd 0.5000 0.5000 0.5000
S 0.0000 0.0000 0.5000
N 0.0000 0.5000 0.0000
N 0.5000 0.0000 0.0000
```

VASP calculation (PBE) on a geometry-optimized InPdSe2N structure. Values from VASP.

Values from the calculation:
Energy above the lowest structure with this stoichiometry, meV per atom: 0
Total magnetization, μB per atom: 0.074
SG: P4/mmm (123)

```
&SYSTEM
  ibrav = 0, nat = 5, ntyp = 4
/
ATOMIC_SPECIES
In 114.82 In.upf
Pd 106.42 Pd.upf
Se 78.96 Se.upf
N 14.01 N.upf
CELL_PARAMETERS angstrom
5.2921 0.0000 0.0000
0.0000 5.2921 0.0000
0.0000 0.0000 3.7322
ATOMIC_POSITIONS crystal
In 0.0000 0.0000 0.0000
Pd 0.5000 0.5000 0.5000
Se 0.0000 0.5000 0.5000
Se 0.5000 0.0000 0.5000
N 0.5000 0.5000 0.0000
```

The calculation returns the following calculated density values, one per record and in order: 4.986; 6.246 g/cm³.